# KCoSi2S, relaxed, DFT GGA-PBEsol
data_KCoSi2S
_chemical_formula_sum 'K1 Co1 Si2 S1'
_cell_length_a 4.6050
_cell_length_b 4.6050
_cell_length_c 5.3119
_cell_angle_alpha 90.00
_cell_angle_beta 90.00
_cell_angle_gamma 90.00
_space_group_name_H-M_alt 'P 4/m m m'
_space_group_IT_number 123
_space_group_name_Hall '-P 4 2'
loop_
_atom_site_label
_atom_site_type_symbol
_atom_site_fract_x
_atom_site_fract_y
_atom_site_fract_z
K1 K 0.0000 0.0000 0.0000
Co1 Co 0.5000 0.5000 0.0000
Si1 Si 0.0000 0.5000 0.5000
S1 S 0.0000 0.0000 0.5000
# Raw formation energy in kJ/mol of atoms: 107.0
# Total energy in eV per formula unit: -19.20
# Crystal system: tetragonal

=====

# KCoSbTe2, relaxed, DFT GGA-PBEsol
data_KCoSbTe2
_chemical_formula_sum 'K1 Co1 Sb1 Te2'
_cell_length_a 5.3459
_cell_length_b 5.3459
_cell_length_c 4.7211
_cell_angle_alpha 90.00
_cell_angle_beta 90.00
_cell_angle_gamma 90.00
_space_group_name_H-M_alt 'P 4/m m m'
_space_group_IT_number 123
_space_group_name_Hall '-P 4 2'
loop_
_atom_site_label
_atom_site_type_symbol
_atom_site_fract_x
_atom_site_fract_y
_atom_site_fract_z
K1 K 0.0000 0.0000 0.0000
Co1 Co 0.5000 0.5000 0.5000
Sb1 Sb 0.5000 0.5000 0.0000
Te1 Te 0.0000 0.5000 0.5000
# Raw formation energy in kJ/mol of atoms: -5.5
# Total energy in eV per formula unit: -20.77
# Crystal system: tetragonal

=====

Please write out number 2 again, unchanged.
# KCoSbTe2, relaxed, DFT GGA-PBEsol
data_KCoSbTe2
_chemical_formula_sum 'K1 Co1 Sb1 Te2'
_cell_length_a 5.3459
_cell_length_b 5.3459
_cell_length_c 4.7211
_cell_angle_alpha 90.00
_cell_angle_beta 90.00
_cell_angle_gamma 90.00
_space_group_name_H-M_alt 'P 4/m m m'
_space_group_IT_number 123
_space_group_name_Hall '-P 4 2'
loop_
_atom_site_label
_atom_site_type_symbol
_atom_site_fract_x
_atom_site_fract_y
_atom_site_fract_z
K1 K 0.0000 0.0000 0.0000
Co1 Co 0.5000 0.5000 0.5000
Sb1 Sb 0.5000 0.5000 0.0000
Te1 Te 0.0000 0.5000 0.5000
# Raw formation energy in kJ/mol of atoms: -5.5
# Total energy in eV per formula unit: -20.77
# Crystal system: tetragonal

=====

> Look up the total energy of the second one.

-20.77 eV per formula unit

=====

> Which value of total energy does entry 1 give?

-19.20 eV per formula unit